Cs2PmSb2S6 | PBE | optimized geometry

Lattice parameters (Å, degrees): 12.7163 7.5299 8.9633 90.00 117.37 90.00
Space group C2/m (No. 12)
Asymmetric unit:
Cs 0.2030 0.0000 0.1767 [4 per cell]
Pm 0.0000 0.0000 0.5000 [2 per cell]
Sb 0.0560 0.5000 0.2023 [4 per cell]
S 0.0451 0.2422 0.7675 [8 per cell]
S 0.2396 0.0000 0.5880 [4 per cell]

Results
crystal system	monoclinic
uncorrected formation energy	-870.5	meV/atom
spin magnetization	0.0	μB per formula unit
electronic total energy	-4.458	eV per atom